# HfScNb2H

Crystalline HfScNb2H at its relaxed geometry (PBE, the Alexandria database).

a = 4.183 Å, b = 4.183 Å, c = 4.734 Å
α = 90.00°, β = 90.00°, γ = 90.00°
Space group P4/mmm (No. 123)
Inequivalent atoms, fractional coordinates:
Hf  0.000  0.000  0.000 [1 per cell]
Sc  0.500  0.500  0.000 [1 per cell]
Nb  0.000  0.500  0.500 [2 per cell]
H  0.500  0.500  0.500 [1 per cell]

Calculated values
* raw total energy: -39.7 eV per cell
* density of states at the Fermi level: 6.6 states/eV/cell